KCdP4 meta-GGA SCAN single point on PBEsol structure; calculated volume = 22.57 A^3/atom; DFT formation energy = 116.0 meV per atom; VASP energy = -13.274 eV per atom; total magnetic moment = 0.00 μB per formula unit
1.0
0.000 4.076 4.076
4.076 0.000 4.076
4.076 4.076 0.000
K Cd P
1 1 4
direct
0.000 0.000 0.000
0.750 0.750 0.750
0.402 0.402 0.402
0.402 0.402 0.795
0.402 0.795 0.402
0.795 0.402 0.402

---

K2Cd2P meta-GGA SCAN single point on PBEsol structure; calculated volume = 34.24 A^3/atom; DFT formation energy = -13.5 meV per atom; VASP energy = -17.591 eV per atom; total magnetic moment = 0.00 μB per formula unit
1.0
6.683 0.000 0.000
0.000 6.683 0.000
0.000 0.000 7.666
K Cd P
4 4 2
direct
0.000 0.500 0.250
0.000 0.500 0.750
0.500 0.000 0.250
0.500 0.000 0.750
0.000 0.000 0.177
0.000 0.000 0.823
0.500 0.500 0.323
0.500 0.500 0.677
0.000 0.000 0.500
0.500 0.500 0.000

---

KTaCdP2 meta-GGA SCAN single point on PBEsol structure; calculated volume = 29.91 A^3/atom; DFT formation energy = 394.5 meV per atom; VASP energy = -24.830 eV per atom; total magnetic moment = 1.24 μB per formula unit
1.0
4.782 0.000 0.000
0.000 4.782 0.000
0.000 0.000 6.539
K Ta Cd P
1 1 1 2
direct
0.000 0.000 0.000
0.000 0.000 0.500
0.500 0.500 0.000
0.000 0.500 0.500
0.500 0.000 0.500

---

KCdPb meta-GGA SCAN single point on PBEsol structure; calculated volume = 33.34 A^3/atom; DFT formation energy = -72.4 meV per atom; VASP energy = -38.247 eV per atom; total magnetic moment = 0.00 μB per formula unit
1.0
7.368 0.000 0.000
0.000 7.368 0.000
0.000 0.000 7.368
K Cd Pb
4 4 4
direct
0.000 0.000 0.000
0.000 0.500 0.500
0.500 0.000 0.500
0.500 0.500 0.000
0.250 0.250 0.750
0.250 0.750 0.250
0.750 0.250 0.250
0.750 0.750 0.750
0.000 0.000 0.500
0.000 0.500 0.000
0.500 0.000 0.000
0.500 0.500 0.500